(1)
Entry from Alexandria: an optimized crystal structure of CeZrPaIn (PBE-GGA).

Cell: 5.183 5.183 5.183 Å, 60.00 60.00 60.00°
Atoms (fractional coordinates):
Pa 0.750 0.750 0.750
Zr 0.000 0.000 0.000
In 0.250 0.250 0.250
Ce 0.500 0.500 0.500

Calculated values
- ΔE_f (eV/atom) = 0.0151
- density of states at the Fermi level (states/eV per cell) = 9.9

***

(2)
Entry from Alexandria: an optimized crystal structure of TlAg8Au2 (PBE-GGA).

Cell: 4.877 7.204 7.204 Å, 84.81 79.23 79.23°
Atoms (fractional coordinates):
Au 0.435 0.152 0.152
Au 0.565 0.848 0.848
Ag 0.212 0.338 0.828
Ag 0.212 0.828 0.338
Ag 0.290 0.427 0.427
Ag 0.788 0.662 0.172
Ag 0.867 0.283 0.283
Ag 0.710 0.573 0.573
Ag 0.788 0.172 0.662
Ag 0.133 0.717 0.717
Tl 0.000 0.000 0.000

Calculated values
- ΔE_f (eV/atom) = 0.2354
- density of states at the Fermi level (states/eV per cell) = 2.9

***

(3)
Entry from Alexandria: an optimized crystal structure of MnSiB (PBE-GGA).

Cell: 2.781 2.781 7.146 Å, 90.00 90.00 90.00°
Atoms (fractional coordinates):
B 0.000 0.000 0.583
B 0.500 0.500 0.083
Mn 0.500 0.500 0.723
Mn 0.000 0.000 0.223
Si 0.500 0.500 0.408
Si 0.000 0.000 0.908

Calculated values
- energy relative to the elements, uncorrected (meV/atom) = -217.3
- density of states at the Fermi level (states/eV per cell) = 0.3
- distance to the lowest polymorph of the same formula (eV per atom) = 0.135

***

(4)
Entry from Alexandria: an optimized crystal structure of BeTl3Sn (PBE-GGA).

Cell: 5.121 5.121 5.121 Å, 90.00 90.00 90.00°
Atoms (fractional coordinates):
Sn 0.500 0.500 0.500
Tl 0.000 0.000 0.500
Tl 0.500 0.000 0.000
Tl 0.000 0.500 0.000
Be 0.000 0.000 0.000

Calculated values
- ΔE_f (eV/atom) = 0.3624
- density of states at the Fermi level (states/eV per cell) = 4.4

***

(5)
Entry from Alexandria: an optimized crystal structure of Tl2CdF4 (PBE-GGA).

Cell: 7.201 5.788 7.880 Å, 90.00 95.72 90.00°
Atoms (fractional coordinates):
F 0.375 0.503 0.148
F 0.915 0.250 0.605
F 0.625 0.497 0.852
F 0.375 0.997 0.148
F 0.625 0.003 0.852
F 0.004 0.750 0.880
F 0.996 0.250 0.120
F 0.085 0.750 0.395
Cd 0.860 0.250 0.866
Cd 0.140 0.750 0.134
Tl 0.207 0.250 0.406
Tl 0.665 0.750 0.121
Tl 0.793 0.750 0.594
Tl 0.335 0.250 0.879

Calculated values
- energy relative to the elements, uncorrected (meV/atom) = -1868.7
- density of states at the Fermi level (states/eV per cell) = 0.0
- distance to the lowest polymorph of the same formula (eV per atom) = 0.082

***

(6)
Entry from Alexandria: an optimized crystal structure of In2SbCl (PBE-GGA).

Cell: 3.410 5.655 5.494 Å, 90.00 90.00 90.00°
Atoms (fractional coordinates):
Sb 0.500 0.000 0.500
Cl 0.000 0.500 0.500
In 0.500 0.500 0.000
In 0.000 0.000 0.000

Calculated values
- energy relative to the elements, uncorrected (meV/atom) = -109.2
- density of states at the Fermi level (states/eV per cell) = 1.6
- distance to the lowest polymorph of the same formula (eV per atom) = 0.273

***

(7)
Entry from Alexandria: an optimized crystal structure of ZrScBi2Mo (PBE-GGA).

Cell: 5.614 5.066 5.614 Å, 90.00 90.00 90.00°
Site moments in Bohr magnetons follow the coordinates.
Atoms (fractional coordinates):
Bi 0.000 0.000 0.500  -0.11
Bi 0.500 0.000 0.000  -0.06
Mo 0.500 0.500 0.500  3.61
Sc 0.000 0.500 0.000  0.05
Zr 0.000 0.000 0.000  -0.02

Calculated values
- ΔE_f (eV/atom) = 1.1625
- density of states at the Fermi level (states/eV per cell) = 4.1

***

(8)
Entry from Alexandria: an optimized crystal structure of LaMgOs2 (PBE-GGA).

Cell: 2.881 2.881 10.187 Å, 90.00 90.00 116.56°
Site moments in Bohr magnetons follow the coordinates.
Atoms (fractional coordinates):
Os 0.500 0.500 0.222  0.04
Os 0.000 0.000 0.014  0.16
Mg 0.500 0.500 0.789  0.00
La 0.000 0.000 0.476  0.00

Calculated values
- ΔE_f (eV/atom) = 0.6392
- density of states at the Fermi level (states/eV per cell) = 5.0